1.
DFT (GGA-PBE) results for crystalline Ca4Ac15Sm at its relaxed geometry.

## Properties
E_form: 23 meV/atom
volume: 43.576 A^3/atom
total magnetic moment: 0.00 μB/f.u.

Cell: 5.576 5.576 28.026 Å, 90.00 90.00 90.00°
Fractional positions:
Ca: 0.000 0.000 0.601
Ca: 0.000 0.000 0.802
Sm: 0.000 0.000 0.000
Ac: 0.000 0.500 0.097
Ac: 0.500 0.000 0.903
Ac: 0.500 0.500 0.802
Ac: 0.000 0.500 0.903
Ca: 0.000 0.000 0.399
Ca: 0.000 0.000 0.198
Ac: 0.500 0.500 0.399
Ac: 0.500 0.500 0.000
Ac: 0.000 0.500 0.299
Ac: 0.500 0.000 0.299
Ac: 0.500 0.000 0.500
Ac: 0.500 0.000 0.701
Ac: 0.500 0.500 0.198
Ac: 0.000 0.500 0.500
Ac: 0.000 0.500 0.701
Ac: 0.500 0.500 0.601
Ac: 0.500 0.000 0.097

2.
DFT (GGA-PBE) results for crystalline CaAcSm2 at its relaxed geometry.

## Properties
E_form: 68 meV/atom
energy above the most stable polymorph in this dataset: 0.010 eV/atom
volume: 38.019 A^3/atom
total magnetic moment: 0.00 μB/f.u.

Cell: 3.778 3.778 12.495 Å, 81.30 81.30 60.00°
Fractional positions:
Ac: 0.666 0.666 0.001
Sm: 0.082 0.082 0.754
Ca: 0.501 0.501 0.498
Sm: 0.251 0.251 0.246

3.
DFT (GGA-PBE) results for crystalline CaAcSm2 at its relaxed geometry.

## Properties
E_form: 176 meV/atom
energy above the most stable polymorph in this dataset: 0.117 eV/atom
volume: 38.800 A^3/atom
total magnetic moment: 0.00 μB/f.u.

Cell: 3.699 3.699 13.271 Å, 81.99 81.99 60.00°
Fractional positions:
Ac: 0.500 0.500 0.500
Sm: 0.089 0.089 0.732
Ca: 0.000 0.000 0.000
Sm: 0.911 0.911 0.268

4.
DFT (GGA-PBE) results for crystalline Ca2Ac5Sm5 at its relaxed geometry.

## Properties
E_form: 64 meV/atom
volume: 39.253 A^3/atom
total magnetic moment: 0.00 μB/f.u.

Cell: 5.439 8.429 11.517 Å, 72.52 76.34 71.18°
Fractional positions:
Ac: 0.249 0.747 0.755
Sm: 0.334 0.330 0.003
Sm: 0.666 0.670 0.997
Sm: 0.414 0.924 0.248
Ac: 0.836 0.831 0.496
Sm: 0.586 0.076 0.752
Sm: 0.500 0.500 0.500
Ca: 0.083 0.590 0.245
Ac: 0.000 0.000 0.000
Ac: 0.164 0.169 0.504
Ca: 0.917 0.410 0.755
Ac: 0.751 0.253 0.245

5.
DFT (GGA-PBE) results for crystalline CaAc12Sm3 at its relaxed geometry.

## Properties
E_form: 26 meV/atom
volume: 42.511 A^3/atom
total magnetic moment: 0.00 μB/f.u.

Cell: 5.543 5.543 22.134 Å, 90.00 90.00 90.00°
Fractional positions:
Ac: 0.500 0.000 0.376
Ac: 0.000 0.500 0.624
Ac: 0.500 0.500 0.749
Ac: 0.500 0.000 0.624
Ac: 0.500 0.000 0.871
Ac: 0.500 0.500 0.000
Ac: 0.500 0.500 0.500
Ac: 0.000 0.500 0.129
Ac: 0.500 0.500 0.251
Ac: 0.500 0.000 0.129
Sm: 0.000 0.000 0.749
Sm: 0.000 0.000 0.500
Ac: 0.000 0.500 0.871
Sm: 0.000 0.000 0.251
Ca: 0.000 0.000 0.000
Ac: 0.000 0.500 0.376

6.
DFT (GGA-PBE) results for crystalline CaAc12Sm7 at its relaxed geometry.

## Properties
E_form: 588 meV/atom
volume: 46.205 A^3/atom
total magnetic moment: 0.00 μB/f.u.

Cell: 10.628 10.628 10.628 Å, 109.47 109.47 109.47°
Fractional positions:
Sm: 0.500 0.000 0.500
Ac: 0.781 0.074 0.294
Ac: 0.781 0.487 0.706
Ca: 0.000 0.000 0.000
Sm: 0.000 0.000 0.500
Ac: 0.926 0.706 0.219
Sm: 0.500 0.500 0.500
Sm: 0.000 0.500 0.500
Ac: 0.219 0.926 0.706
Ac: 0.487 0.706 0.781
Sm: 0.500 0.500 0.000
Ac: 0.074 0.294 0.781
Ac: 0.294 0.781 0.074
Sm: 0.000 0.500 0.000
Ac: 0.294 0.219 0.513
Sm: 0.500 0.000 0.000
Ac: 0.706 0.219 0.926
Ac: 0.219 0.513 0.294
Ac: 0.706 0.781 0.487
Ac: 0.513 0.294 0.219